A plane-wave DFT calculation with PBE-GGA was carried out for a relaxed HfTaRePd crystal.

a = 6.5077 Å, b = 6.5077 Å, c = 6.5077 Å
α = 90.00°, β = 90.00°, γ = 90.00°
Space group F-43m (No. 216)
Inequivalent atoms, fractional coordinates:
Hf: 0.0000 0.0000 0.0000 [4 per cell]
Ta: 0.0000 0.0000 0.5000 [4 per cell]
Re: 0.2500 0.2500 0.2500 [4 per cell]
Pd: 0.2500 0.2500 0.7500 [4 per cell]

Properties
formation energy from the elements	-0.38	eV per atom


A plane-wave DFT calculation with PBE-GGA was carried out for a relaxed HfReTePd2 crystal.

a = 4.8324 Å, b = 4.8324 Å, c = 4.9937 Å
α = 90.00°, β = 90.00°, γ = 90.00°
Space group P4/mmm (No. 123)
Inequivalent atoms, fractional coordinates:
Hf: 0.0000 0.0000 0.0000 [1 per cell]
Re: 0.5000 0.5000 0.5000 [1 per cell]
Te: 0.5000 0.5000 0.0000 [1 per cell]
Pd: 0.0000 0.5000 0.5000 [2 per cell]

Properties
formation energy (no corrections)	5.08	eV per formula unit


A plane-wave DFT calculation with PBE-GGA was carried out for a relaxed HfTiRePd crystal.

a = 3.2254 Å, b = 3.2254 Å, c = 6.4455 Å
α = 90.00°, β = 90.00°, γ = 90.00°
Space group P4mm (No. 99)
Inequivalent atoms, fractional coordinates:
Hf: 0.0000 0.0000 0.0000 [1 per cell]
Ti: 0.0000 0.0000 0.4748 [1 per cell]
Re: 0.5000 0.5000 0.2535 [1 per cell]
Pd: 0.5000 0.5000 0.7307 [1 per cell]

Properties
excess energy over the best structure of this formula in the dataset	0.0	meV/atom
formation energy from the elements	-0.56	eV per atom


A plane-wave DFT calculation with PBE-GGA was carried out for a relaxed HfTiRePd crystal.

a = 6.4387 Å, b = 6.4387 Å, c = 6.4387 Å
α = 90.00°, β = 90.00°, γ = 90.00°
Space group F-43m (No. 216)
Inequivalent atoms, fractional coordinates:
Hf: 0.0000 0.0000 0.0000 [4 per cell]
Ti: 0.0000 0.0000 0.5000 [4 per cell]
Re: 0.2500 0.2500 0.2500 [4 per cell]
Pd: 0.2500 0.2500 0.7500 [4 per cell]

Properties
excess energy over the best structure of this formula in the dataset	71.4	meV/atom
formation energy from the elements	-0.49	eV per atom


A plane-wave DFT calculation with PBE-GGA was carried out for a relaxed HfVRePd crystal.

a = 6.3761 Å, b = 6.3761 Å, c = 6.3761 Å
α = 90.00°, β = 90.00°, γ = 90.00°
Space group F-43m (No. 216)
Inequivalent atoms, fractional coordinates:
Hf: 0.0000 0.0000 0.0000 [4 per cell]
V: 0.0000 0.0000 0.5000 [4 per cell]
Re: 0.2500 0.2500 0.7500 [4 per cell]
Pd: 0.2500 0.2500 0.2500 [4 per cell]

Properties
formation energy from the elements	-0.25	eV per atom


A plane-wave DFT calculation with PBE-GGA was carried out for a relaxed Hf5Zr2Re2Pd crystal.

a = 11.1931 Å, b = 11.1931 Å, c = 3.3383 Å
α = 90.00°, β = 90.00°, γ = 90.00°
Space group P4/mbm (No. 127)
Inequivalent atoms, fractional coordinates:
Hf: 0.0000 0.5000 0.0000 [2 per cell]
Hf: 0.0446 0.2014 0.0000 [8 per cell]
Zr: 0.1864 0.6864 0.5000 [4 per cell]
Re: 0.1393 0.3607 0.5000 [4 per cell]
Pd: 0.0000 0.0000 0.5000 [2 per cell]

Properties
formation energy from the elements	-0.16	eV per atom


A plane-wave DFT calculation with PBE-GGA was carried out for a relaxed HfZrRePd crystal.

a = 3.3117 Å, b = 3.3117 Å, c = 6.6578 Å
α = 90.00°, β = 90.00°, γ = 90.00°
Space group P4mm (No. 99)
Inequivalent atoms, fractional coordinates:
Hf: 0.0000 0.0000 0.0000 [1 per cell]
Zr: 0.0000 0.0000 0.4767 [1 per cell]
Re: 0.5000 0.5000 0.2357 [1 per cell]
Pd: 0.5000 0.5000 0.7464 [1 per cell]

Properties
excess energy over the best structure of this formula in the dataset	0.0	meV/atom
formation energy from the elements	-0.55	eV per atom


A plane-wave DFT calculation with PBE-GGA was carried out for a relaxed HfZrRePd crystal.

a = 6.6224 Å, b = 6.6224 Å, c = 6.6224 Å
α = 90.00°, β = 90.00°, γ = 90.00°
Space group F-43m (No. 216)
Inequivalent atoms, fractional coordinates:
Hf: 0.0000 0.0000 0.0000 [4 per cell]
Zr: 0.0000 0.0000 0.5000 [4 per cell]
Re: 0.2500 0.2500 0.7500 [4 per cell]
Pd: 0.2500 0.2500 0.2500 [4 per cell]

Properties
excess energy over the best structure of this formula in the dataset	48.5	meV/atom
formation energy from the elements	-0.50	eV per atom


DOS at the Fermi energy: 12.8, 5.8, 2.4, 12.4, 20.5, 28.2, 2.4, 8.2 (states/eV/cell)